! TaNbCo3 PBE-GGA relaxed; values from VASP
! - SG = Pm-3m
! - magnetic moment (μB per formula unit) = 3.4
! - polymorph energy (0 for the lowest one) (meV/atom) = 1126.0
! - E_form (eV/f.u.) = 6.41
! - E_tot (eV/f.u.) = -36.834
&SYSTEM
  ibrav = 0, nat = 5, ntyp = 3
/
ATOMIC_SPECIES
Ta 180.95 Ta.upf
Nb 92.91 Nb.upf
Co 58.93 Co.upf
ATOMIC_POSITIONS angstrom
Ta 0.000 0.000 0.000
Nb 2.199 2.199 2.199
Co 0.000 0.000 2.199
Co 0.000 2.199 0.000
Co 2.199 0.000 0.000
CELL_PARAMETERS angstrom
4.399 0.000 0.000
0.000 4.399 0.000
0.000 0.000 4.399